A plane-wave DFT calculation with GGA-PBEsol was carried out for a relaxed structure of LiReAu3.

Cell lengths 4.267, 4.267, 4.267 Å; angles 90.00, 90.00, 90.00 degrees
Element x y z (fractional)
Li  0.000  0.000  0.000
Re  0.500  0.500  0.500
Au  0.000  0.000  0.500
Au  0.000  0.500  0.000
Au  0.500  0.000  0.000

Values from the calculation:
The calculation puts the energy relative to the lowest polymorph listed for this composition at 0 meV/atom. For the size of the total moment, the calculation gives 0.00 μB/f.u.